[1]
A plane-wave DFT calculation with GGA-PBE was carried out for a relaxed SrTa2Si crystal.

a = 4.192 Å, b = 4.192 Å, c = 9.400 Å
α = 90.00°, β = 90.00°, γ = 90.00°
Space group I4/mmm (No. 139)
One atom of each set of equivalent atoms:
Sr  0.000  0.000  0.000 x2
Ta  0.000  0.500  0.250 x4
Si  0.000  0.000  0.500 x2


[2]
A plane-wave DFT calculation with GGA-PBE was carried out for a relaxed SrTa2Si crystal.

a = 2.813 Å, b = 5.343 Å, c = 11.237 Å
α = 90.00°, β = 90.00°, γ = 90.00°
Space group Immm (No. 71)
One atom of each set of equivalent atoms:
Sr  0.000  0.000  0.000 x2
Ta  0.000  0.500  0.203 x4
Si  0.000  0.000  0.500 x2


[3]
A plane-wave DFT calculation with GGA-PBE was carried out for a relaxed SrTa2Si crystal.

a = 3.383 Å, b = 3.922 Å, c = 14.812 Å
α = 90.00°, β = 90.00°, γ = 90.00°
Space group Imm2 (No. 44)
One atom of each set of equivalent atoms:
Sr  0.000  0.000  0.000 x2
Ta  0.000  0.000  0.667 x2
Ta  0.000  0.500  0.798 x2
Si  0.000  0.500  0.304 x2


[4]
A plane-wave DFT calculation with GGA-PBE was carried out for a relaxed SrTa2Si crystal.

a = 3.838 Å, b = 4.725 Å, c = 9.266 Å
α = 90.00°, β = 90.00°, γ = 90.00°
Space group Cmm2 (No. 35)
One atom of each set of equivalent atoms:
Sr  0.000  0.000  0.000 x2
Ta  0.000  0.000  0.452 x2
Ta  0.000  0.500  0.679 x2
Si  0.000  0.500  0.261 x2


[5]
A plane-wave DFT calculation with GGA-PBE was carried out for a relaxed SrTa2Si crystal.

a = 3.457 Å, b = 3.457 Å, c = 7.298 Å
α = 90.00°, β = 90.00°, γ = 90.00°
Space group P4/mmm (No. 123)
One atom of each set of equivalent atoms:
Sr  0.000  0.000  0.000 x1
Ta  0.500  0.500  0.333 x2
Si  0.000  0.000  0.500 x1


[6]
A plane-wave DFT calculation with GGA-PBE was carried out for a relaxed Sr3TaSi crystal.

Summary:
energy above the lowest structure with this stoichiometry = 0 meV per atom

a = 5.951 Å, b = 5.951 Å, c = 5.951 Å
α = 90.00°, β = 90.00°, γ = 90.00°
Space group Pm-3m (No. 221)
One atom of each set of equivalent atoms:
Sr  0.000  0.000  0.500 x3
Ta  0.500  0.500  0.500 x1
Si  0.000  0.000  0.000 x1


[7]
A plane-wave DFT calculation with GGA-PBE was carried out for a relaxed SrTa2Si crystal.

a = 2.957 Å, b = 2.957 Å, c = 9.455 Å
α = 90.00°, β = 90.00°, γ = 90.00°
Space group P4mm (No. 99)
One atom of each set of equivalent atoms:
Sr  0.000  0.000  0.000 x1
Ta  0.000  0.000  0.554 x1
Ta  0.500  0.500  0.316 x1
Si  0.500  0.500  0.746 x1


[8]
A plane-wave DFT calculation with GGA-PBE was carried out for a relaxed SrTa2Si crystal.

a = 4.904 Å, b = 4.904 Å, c = 18.838 Å
α = 90.00°, β = 90.00°, γ = 90.00°
Space group I4_1/amd (No. 141, origin choice 2)
One atom of each set of equivalent atoms:
Sr  0.000  0.250  0.375 x4
Ta  0.000  0.000  0.000 x8
Si  0.000  0.250  0.875 x4


[9]
A plane-wave DFT calculation with GGA-PBE was carried out for a relaxed SrTbSi3 crystal.

a = 4.518 Å, b = 24.978 Å, c = 3.948 Å
α = 90.00°, β = 90.00°, γ = 90.00°
Space group Cmcm (No. 63)
One atom of each set of equivalent atoms:
Sr  0.000  0.073  0.250 x4
Tb  0.000  0.203  0.750 x4
Si  0.000  0.320  0.750 x4
Si  0.000  0.377  0.250 x4
Si  0.000  0.475  0.250 x4


[10]
A plane-wave DFT calculation with GGA-PBE was carried out for a relaxed SrTb4Si4 crystal.

a = 9.492 Å, b = 9.492 Å, c = 5.731 Å
α = 90.00°, β = 90.00°, γ = 90.00°
Space group P4_2/n (No. 86, origin choice 2)
One atom of each set of equivalent atoms:
Sr  0.250  0.250  0.250 x2
Tb  0.113  0.631  0.128 x8
Si  0.061  0.577  0.638 x8


[11]
A plane-wave DFT calculation with GGA-PBE was carried out for a relaxed SrTbSi crystal.

a = 14.364 Å, b = 5.008 Å, c = 5.012 Å
α = 90.00°, β = 90.00°, γ = 90.00°
Space group Amm2 (No. 38)
One atom of each set of equivalent atoms:
Sr  0.142  0.000  0.000 x4
Tb  0.380  0.000  0.502 x4
Si  0.000  0.000  0.500 x2
Si  0.500  0.000  0.002 x2


[12]
A plane-wave DFT calculation with GGA-PBE was carried out for a relaxed SrSiTc4 crystal.

a = 7.496 Å, b = 7.496 Å, c = 7.496 Å
α = 90.00°, β = 90.00°, γ = 90.00°
Space group F-43m (No. 216)
One atom of each set of equivalent atoms:
Sr  0.000  0.000  0.000 x4
Si  0.250  0.250  0.250 x4
Tc  0.123  0.123  0.623 x16


[13]
A plane-wave DFT calculation with GGA-PBE was carried out for a relaxed SrSi2Tc crystal.

Summary:
energy above the lowest structure with this stoichiometry = 894 meV per atom

a = 4.237 Å, b = 4.237 Å, c = 4.204 Å
α = 90.00°, β = 90.00°, γ = 90.00°
Space group P4/mmm (No. 123)
One atom of each set of equivalent atoms:
Sr  0.000  0.000  0.000 x1
Si  0.000  0.500  0.500 x2
Tc  0.500  0.500  0.000 x1


[14]
A plane-wave DFT calculation with GGA-PBE was carried out for a relaxed SrSi2Tc crystal.

Summary:
energy above the lowest structure with this stoichiometry = 235 meV per atom

a = 3.255 Å, b = 3.750 Å, c = 6.767 Å
α = 90.00°, β = 103.84°, γ = 90.00°
Space group Pm (No. 6)
One atom of each set of equivalent atoms:
Sr  0.000  0.000  0.000 x1
Si  0.243  0.000  0.483 x1
Si  0.358  0.500  0.715 x1
Tc  0.712  0.500  0.421 x1


[15]
A plane-wave DFT calculation with GGA-PBE was carried out for a relaxed SrSiTc crystal.

Summary:
energy above the lowest structure with this stoichiometry = 1972 meV per atom

a = 6.955 Å, b = 6.955 Å, c = 6.955 Å
α = 90.00°, β = 90.00°, γ = 90.00°
Space group F-43m (No. 216)
One atom of each set of equivalent atoms:
Sr  0.000  0.000  0.000 x4
Si  0.250  0.250  0.750 x4
Tc  0.250  0.250  0.250 x4


[16]
A plane-wave DFT calculation with GGA-PBE was carried out for a relaxed Sr2SiTc crystal.

a = 7.158 Å, b = 7.158 Å, c = 7.158 Å
α = 90.00°, β = 90.00°, γ = 90.00°
Space group F-43m (No. 216)
One atom of each set of equivalent atoms:
Sr  0.000  0.000  0.000 x4
Sr  0.250  0.250  0.250 x4
Si  0.000  0.000  0.500 x4
Tc  0.250  0.250  0.750 x4


[17]
A plane-wave DFT calculation with GGA-PBE was carried out for a relaxed SrSiTc crystal.

Summary:
energy above the lowest structure with this stoichiometry = 0 meV per atom

a = 4.231 Å, b = 4.231 Å, c = 8.428 Å
α = 90.00°, β = 90.00°, γ = 90.00°
Space group P4/nmm (No. 129, origin choice 2)
One atom of each set of equivalent atoms:
Sr  0.250  0.250  0.193 x2
Si  0.250  0.250  0.644 x2
Tc  0.250  0.750  0.500 x2


[18]
A plane-wave DFT calculation with GGA-PBE was carried out for a relaxed SrSi2Tc crystal.

Summary:
energy above the lowest structure with this stoichiometry = 731 meV per atom

a = 3.123 Å, b = 5.017 Å, c = 9.783 Å
α = 90.00°, β = 90.00°, γ = 90.00°
Space group Imm2 (No. 44)
One atom of each set of equivalent atoms:
Sr  0.000  0.000  0.000 x2
Si  0.000  0.000  0.478 x2
Si  0.000  0.500  0.202 x2
Tc  0.000  0.500  0.787 x2


[19]
A plane-wave DFT calculation with GGA-PBE was carried out for a relaxed SrSi2Tc crystal.

Summary:
energy above the lowest structure with this stoichiometry = 945 meV per atom

a = 4.124 Å, b = 4.124 Å, c = 9.131 Å
α = 90.00°, β = 90.00°, γ = 90.00°
Space group I-4m2 (No. 119)
One atom of each set of equivalent atoms:
Sr  0.000  0.000  0.000 x2
Si  0.000  0.000  0.500 x2
Si  0.000  0.500  0.250 x2
Tc  0.000  0.500  0.750 x2


[20]
A plane-wave DFT calculation with GGA-PBE was carried out for a relaxed Sr2SiTc crystal.

a = 4.1835 Å, b = 4.1835 Å, c = 25.4648 Å
α = 90.00°, β = 90.00°, γ = 120.00°
Space group R3m (No. 160, hexagonal axes)
One atom of each set of equivalent atoms:
Sr  0.0000  0.0000  0.0000 x3
Sr  0.0000  0.0000  0.1719 x3
Si  0.0000  0.0000  0.7526 x3
Tc  0.0000  0.0000  0.4192 x3


no.,volume (Å³/cell),raw formation energy (eV/atom),final energy (eV/atom)
1,165,0.74,-6.961
2,169,0.34,-7.367
3,197,0.41,-7.288
4,168,0.29,-7.417
5,87,0.33,-7.374
6,211,0.91,-3.555
7,83,0.33,-7.372
8,453,0.76,-6.943
9,446,-0.53,-5.045
10,516,-0.51,-5.161
11,361,-0.20,-4.110
12,421,0.55,-7.541
13,75,0.56,-5.160
14,80,-0.09,-5.818
15,336,1.64,-4.184
16,367,0.56,-4.231
17,151,-0.33,-6.156
18,153,0.40,-5.322
19,155,0.62,-5.108
20,386,-0.15,-4.940